No. 1
The following is a PBE calculation of a relaxed structure of LiScGa2S, from Alexandria.

Computed properties:
N(E_F) (states/eV/f.u.): 5.6
Volume (Å³/atom): 29.558
Energy (eV/atom): -2.90
Uncorrected formation energy (eV per atom): 0.78

Lattice parameters (Å, degrees): 5.2496 5.3629 5.2496 90.00 90.00 90.00
Last column: nearest neighbours and their distance in Å.
Fractional coordinates of all 5 atoms:
Li 0.0000 0.5000 0.0000  2 Sc 2.68
S 0.5000 0.5000 0.5000  4 Li 3.71, 8 Ga 3.75
Ga 0.0000 0.0000 0.5000  2 Sc 2.62
Sc 0.0000 0.0000 0.0000  4 Ga 2.62, 2 Li 2.68
Ga 0.5000 0.0000 0.0000  2 Sc 2.62

No. 2
The following is a PBE calculation of a relaxed structure of MgPb2Se, from Alexandria.

Computed properties:
N(E_F) (states/eV/f.u.): 1.3
Volume (Å³/atom): 27.393
Energy (eV/atom): -3.22
Uncorrected formation energy (eV per atom): -0.10

Lattice parameters (Å, degrees): 4.1543 4.1574 6.3442 90.00 90.00 90.00
Last column: nearest neighbours and their distance in Å.
Fractional coordinates of all 4 atoms:
Mg 0.5000 0.5000 0.7500  2 Se 3.17, 8 Pb 3.36
Se 0.5000 0.5000 0.2500  2 Mg 3.17, 8 Pb 3.32
Pb 0.0000 0.0000 0.4944  2 Pb 3.10-3.24, 4 Se 3.32, 4 Mg 3.36
Pb 0.0000 0.0000 0.0056  2 Pb 3.10-3.24, 4 Se 3.32, 4 Mg 3.36

What did the first record say?
The following is a PBE calculation of a relaxed structure of LiScGa2S, from Alexandria.

Computed properties:
N(E_F) (states/eV/f.u.): 5.6
Volume (Å³/atom): 29.558
Energy (eV/atom): -2.90
Uncorrected formation energy (eV per atom): 0.78

Lattice parameters (Å, degrees): 5.2496 5.3629 5.2496 90.00 90.00 90.00
Last column: nearest neighbours and their distance in Å.
Fractional coordinates of all 5 atoms:
Li 0.0000 0.5000 0.0000  2 Sc 2.68
S 0.5000 0.5000 0.5000  4 Li 3.71, 8 Ga 3.75
Ga 0.0000 0.0000 0.5000  2 Sc 2.62
Sc 0.0000 0.0000 0.0000  4 Ga 2.62, 2 Li 2.68
Ga 0.5000 0.0000 0.0000  2 Sc 2.62

Question: Number 1 is which compound?
Answer: LiScGa2S

Question: energy of number 2 (MgPb2Se)?
Answer: -3.22 eV/atom

Question: Look up the volume of the second one.
Answer: 27.393 Å³/atom